{
  "formula": "Bi2TeI",
  "functional": "PBE-GGA",
  "state": "optimized geometry",
  "raw_formation_energy_mev_per_atom": 153.0,
  "relative_energy_ev_per_atom": 0.4015,
  "energy_ev_per_atom": -2.9604,
  "space_group": "Fm-3m",
  "crystal_system": "cubic",
  "magmom_total_mub_per_cell": 0.0,
  "lattice": [[2.106, -0.218, 5.202], [2.341, 4.571, 2.276], [-2.592, 2.691, 4.194]],
  "species": ["Te", "Bi", "I", "Bi"],
  "frac_coords": [[0.000, 0.000, 0.000], [0.750, 0.750, 0.750], [0.500, 0.500, 0.500], [0.250, 0.250, 0.250]]
}